[1]
TaAgAs2, single point on PBEsol structure, DFT SCAN; ΔE_f = 196 meV per atom; density of states at the Fermi level = 1.7 states/eV/f.u.
1.0
-1.8972 1.8972 4.6933
1.8972 -1.8972 4.6933
1.8972 1.8972 -4.6933
Ta Ag As
1 1 2
Direct
0.0000 0.0000 0.0000 Ta
0.7500 0.2500 0.5000 Ag
0.2500 0.7500 0.5000 As
0.5000 0.5000 0.0000 As



[2]
CrP2Au, single point on PBEsol structure, DFT SCAN; ΔE_f = 67 meV per atom; density of states at the Fermi level = 1.8 states/eV/f.u.; ΔE to the lowest computed polymorph = 32 meV per atom
1.0
1.4451 0.8343 7.8121
-1.4451 0.8343 7.8121
0.0000 -1.6686 7.8121
Cr P Au
1 2 1
Direct
0.0000 0.0000 0.0000 Cr
0.2662 0.2662 0.2662 P
0.7338 0.7338 0.7338 P
0.5000 0.5000 0.5000 Au



[3]
CrAgSn2Sb, single point on PBEsol structure, DFT SCAN; density of states at the Fermi level = 2.5 states/eV/f.u.; raw formation energy = 916 meV/atom
1.0
5.6204 0.0000 0.0000
0.0000 5.6204 0.0000
0.0000 0.0000 4.9572
Cr Ag Sn Sb
1 1 2 1
Direct
0.0000 0.0000 0.0000 Cr
0.5000 0.5000 0.0000 Ag
0.0000 0.5000 0.5000 Sn
0.5000 0.0000 0.5000 Sn
0.0000 0.0000 0.5000 Sb



[4]
Na2BeInSi, single point on PBEsol structure, DFT SCAN; density of states at the Fermi level = 2.6 states/eV/f.u.; raw formation energy = 331 meV/atom
1.0
5.5476 0.0000 0.0000
0.0000 5.5476 0.0000
0.0000 0.0000 4.1323
Na Be In Si
2 1 1 1
Direct
0.0000 0.5000 0.0000 Na
0.5000 0.0000 0.0000 Na
0.0000 0.0000 0.5000 Be
0.5000 0.5000 0.5000 In
0.0000 0.0000 0.0000 Si



[5]
SrSb2TeOs, single point on PBEsol structure, DFT SCAN; density of states at the Fermi level = 1.5 states/eV/f.u.; raw formation energy = -91 meV/atom
1.0
4.9890 0.0000 0.0000
0.0000 4.9890 0.0000
0.0000 0.0000 6.0240
Sr Sb Te Os
1 2 1 1
Direct
0.0000 0.0000 0.0000 Sr
0.0000 0.5000 0.5000 Sb
0.5000 0.0000 0.5000 Sb
0.5000 0.5000 0.0000 Te
0.5000 0.5000 0.5000 Os



[6]
KZn2Bi2, single point on PBEsol structure, DFT SCAN; ΔE_f = -197 meV per atom; density of states at the Fermi level = 1.4 states/eV/f.u.
1.0
-2.0820 2.0820 8.2106
2.0820 -2.0820 8.2106
2.0820 2.0820 -8.2106
K Zn Bi
1 2 2
Direct
0.0000 0.0000 0.0000 K
0.2500 0.7500 0.5000 Zn
0.7500 0.2500 0.5000 Zn
0.3632 0.3632 0.0000 Bi
0.6368 0.6368 0.0000 Bi



Look up the density of states at the Fermi level of the second one. 1.8 states/eV/f.u.



Number 5 is which compound? SrSb2TeOs



What did the second record say?
CrP2Au, single point on PBEsol structure, DFT SCAN; ΔE_f = 67 meV per atom; density of states at the Fermi level = 1.8 states/eV/f.u.; ΔE to the lowest computed polymorph = 32 meV per atom
1.0
1.4451 0.8343 7.8121
-1.4451 0.8343 7.8121
0.0000 -1.6686 7.8121
Cr P Au
1 2 1
Direct
0.0000 0.0000 0.0000 Cr
0.2662 0.2662 0.2662 P
0.7338 0.7338 0.7338 P
0.5000 0.5000 0.5000 Au